Arrangement w

DFT (GGA-PBE) results for a relaxed structure of NbW2SeI.

a = 4.8968 Å, b = 4.8968 Å, c = 5.0294 Å
α = 90.00°, β = 90.00°, γ = 90.00°
Sites, in units of the cell vectors:
1 Nb 0.0000 0.0000 0.0000
2 W 0.0000 0.5000 0.5000
3 W 0.5000 0.0000 0.5000
4 Se 0.5000 0.5000 0.0000
5 I 0.0000 0.0000 0.5000

Output
The magnetic moment is 0.000 μB per atom.

---

Arrangement x

DFT (GGA-PBE) results for a relaxed structure of NbW2SeI.

a = 4.9912 Å, b = 4.9912 Å, c = 5.2101 Å
α = 90.00°, β = 90.00°, γ = 90.00°
Sites, in units of the cell vectors:
1 Nb 0.0000 0.0000 0.0000
2 W 0.0000 0.5000 0.0000
3 W 0.5000 0.0000 0.0000
4 Se 0.5000 0.5000 0.5000
5 I 0.0000 0.0000 0.5000

Output
The magnetic moment is 0.549 μB per atom.

---

From most stable to least stable, the computed energies give arrangement x, arrangement w.

---

Arrangement w

DFT (GGA-PBE) results for a relaxed structure of Nb3SiI.

a = 4.9782 Å, b = 4.9782 Å, c = 4.9782 Å
α = 90.00°, β = 90.00°, γ = 90.00°
Sites, in units of the cell vectors:
1 Nb 0.0000 0.0000 0.5000
2 Nb 0.0000 0.5000 0.0000
3 Nb 0.5000 0.0000 0.0000
4 Si 0.5000 0.5000 0.5000
5 I 0.0000 0.0000 0.0000

Output
The magnetic moment is 0.000 μB per atom.

---

Arrangement x

DFT (GGA-PBE) results for a relaxed structure of Nb3SiI.

a = 4.7855 Å, b = 4.7855 Å, c = 4.7855 Å
α = 90.00°, β = 90.00°, γ = 90.00°
Sites, in units of the cell vectors:
1 Nb 0.0000 0.0000 0.5000
2 Nb 0.0000 0.5000 0.0000
3 Nb 0.5000 0.0000 0.0000
4 Si 0.0000 0.0000 0.0000
5 I 0.5000 0.5000 0.5000

Output
The magnetic moment is 0.000 μB per atom.

---

From most stable to least stable, the computed energies give arrangement x, arrangement w.

---

Arrangement w

DFT (GGA-PBE) results for a relaxed structure of NbSiI3.

a = 5.6711 Å, b = 5.6711 Å, c = 5.6711 Å
α = 90.00°, β = 90.00°, γ = 90.00°
Sites, in units of the cell vectors:
1 Nb 0.0000 0.0000 0.0000
2 Si 0.5000 0.5000 0.5000
3 I 0.0000 0.0000 0.5000
4 I 0.0000 0.5000 0.0000
5 I 0.5000 0.0000 0.0000

Output
The magnetic moment is 0.800 μB per atom.

---

Arrangement x

DFT (GGA-PBE) results for a relaxed structure of NbSiI3.

a = 5.5585 Å, b = 5.5585 Å, c = 5.5585 Å
α = 90.00°, β = 90.00°, γ = 90.00°
Sites, in units of the cell vectors:
1 Nb 0.0000 0.0000 0.0000
2 Si 0.5000 0.5000 0.5000
3 I 0.0000 0.5000 0.5000
4 I 0.5000 0.0000 0.5000
5 I 0.5000 0.5000 0.0000

Output
The magnetic moment is 0.800 μB per atom.

---

From most stable to least stable, the computed energies give arrangement w, arrangement x.

---

Arrangement w

DFT (GGA-PBE) results for a relaxed structure of Nb2SnI.

a = 4.8726 Å, b = 4.8726 Å, c = 4.8726 Å
α = 60.00°, β = 60.00°, γ = 60.00°
Sites, in units of the cell vectors:
1 Nb 0.2500 0.2500 0.2500
2 Nb 0.7500 0.7500 0.7500
3 Sn 0.0000 0.0000 0.0000
4 I 0.5000 0.5000 0.5000

Output
The magnetic moment is 0.000 μB per atom.

---

Arrangement x

DFT (GGA-PBE) results for a relaxed structure of Nb2SnI.

a = 6.3096 Å, b = 6.3096 Å, c = 6.3096 Å
α = 103.77°, β = 103.77°, γ = 121.60°
Sites, in units of the cell vectors:
1 Nb 0.0972 0.6250 0.9722
2 Nb 0.3750 0.3472 0.4722
3 Nb 0.6528 0.1250 0.0278
4 Nb 0.8750 0.9028 0.5278
5 Sn 0.2500 0.7500 0.5000
6 Sn 0.5000 0.5000 0.0000
7 I 0.0000 0.0000 0.0000
8 I 0.7500 0.2500 0.5000

Output
The magnetic moment is 0.000 μB per atom.

---

From most stable to least stable, the computed energies give arrangement w, arrangement x.

---

Arrangement w

DFT (GGA-PBE) results for a relaxed structure of NbSn3I.

a = 5.4835 Å, b = 5.4835 Å, c = 5.4835 Å
α = 90.00°, β = 90.00°, γ = 90.00°
Sites, in units of the cell vectors:
1 Nb 0.0000 0.0000 0.0000
2 Sn 0.0000 0.0000 0.5000
3 Sn 0.0000 0.5000 0.0000
4 Sn 0.5000 0.0000 0.0000
5 I 0.5000 0.5000 0.5000

Output
The magnetic moment is 0.095 μB per atom.

---

Arrangement x

DFT (GGA-PBE) results for a relaxed structure of NbSn3I.

a = 5.6567 Å, b = 5.6567 Å, c = 5.6567 Å
α = 90.00°, β = 90.00°, γ = 90.00°
Sites, in units of the cell vectors:
1 Nb 0.0000 0.0000 0.0000
2 Sn 0.0000 0.5000 0.5000
3 Sn 0.5000 0.0000 0.5000
4 Sn 0.5000 0.5000 0.0000
5 I 0.5000 0.5000 0.5000

Output
The magnetic moment is 0.000 μB per atom.

---

From most stable to least stable, the computed energies give arrangement w, arrangement x.

---

Arrangement w

DFT (GGA-PBE) results for a relaxed structure of NbSnI3.

a = 5.7142 Å, b = 5.7142 Å, c = 5.7142 Å
α = 90.00°, β = 90.00°, γ = 90.00°
Sites, in units of the cell vectors:
1 Nb 0.0000 0.0000 0.0000
2 Sn 0.5000 0.5000 0.5000
3 I 0.0000 0.0000 0.5000
4 I 0.0000 0.5000 0.0000
5 I 0.5000 0.0000 0.0000

Output
The magnetic moment is 0.800 μB per atom.

---

Arrangement x

DFT (GGA-PBE) results for a relaxed structure of NbSnI3.

a = 6.0681 Å, b = 6.0681 Å, c = 6.0681 Å
α = 90.00°, β = 90.00°, γ = 90.00°
Sites, in units of the cell vectors:
1 Nb 0.0000 0.0000 0.0000
2 Sn 0.5000 0.5000 0.5000
3 I 0.0000 0.5000 0.5000
4 I 0.5000 0.0000 0.5000
5 I 0.5000 0.5000 0.0000

Output
The magnetic moment is 0.802 μB per atom.

---

From most stable to least stable, the computed energies give arrangement w, arrangement x.

---

Arrangement w

DFT (GGA-PBE) results for a relaxed structure of NbSnTe2I.

a = 5.4838 Å, b = 5.4838 Å, c = 5.6066 Å
α = 90.00°, β = 90.00°, γ = 90.00°
Sites, in units of the cell vectors:
1 Nb 0.0000 0.0000 0.0000
2 Sn 0.5000 0.5000 0.5000
3 Te 0.0000 0.5000 0.0000
4 Te 0.5000 0.0000 0.0000
5 I 0.0000 0.0000 0.5000

Output
The magnetic moment is 0.370 μB per atom.

---

Arrangement x

DFT (GGA-PBE) results for a relaxed structure of NbSnTe2I.

a = 5.7150 Å, b = 5.7150 Å, c = 5.7095 Å
α = 90.00°, β = 90.00°, γ = 90.00°
Sites, in units of the cell vectors:
1 Nb 0.0000 0.0000 0.0000
2 Sn 0.5000 0.5000 0.5000
3 Te 0.0000 0.5000 0.5000
4 Te 0.5000 0.0000 0.5000
5 I 0.5000 0.5000 0.0000

Output
The magnetic moment is 0.567 μB per atom.

---

From most stable to least stable, the computed energies give arrangement w, arrangement x.

---

Arrangement w

DFT (GGA-PBE) results for a relaxed structure of Sr2NbI.

a = 5.9101 Å, b = 5.9101 Å, c = 5.9101 Å
α = 60.00°, β = 60.00°, γ = 60.00°
Sites, in units of the cell vectors:
1 Sr 0.2500 0.2500 0.2500
2 Sr 0.7500 0.7500 0.7500
3 Nb 0.0000 0.0000 0.0000
4 I 0.5000 0.5000 0.5000

Output
The magnetic moment is 1.233 μB per atom.

---

Arrangement x

DFT (GGA-PBE) results for a relaxed structure of Sr2NbI.

a = 7.5859 Å, b = 7.5859 Å, c = 7.5859 Å
α = 107.00°, β = 107.00°, γ = 114.53°
Sites, in units of the cell vectors:
1 Sr 0.1181 0.1250 0.4931
2 Sr 0.3750 0.8819 0.0069
3 Sr 0.6319 0.6250 0.5069
4 Sr 0.8750 0.3681 0.9931
5 Nb 0.2500 0.7500 0.5000
6 Nb 0.5000 0.5000 0.0000
7 I 0.0000 0.0000 0.0000
8 I 0.7500 0.2500 0.5000

Output
The magnetic moment is 1.223 μB per atom.

---

From most stable to least stable, the computed energies give arrangement w, arrangement x.